Density functional theory data (PBE-GGA) for a relaxed structure of AsPt.

a b c (Å): 5.4189 5.4189 6.3488
angles (deg): 73.81 73.81 38.72
Positions (direct):
Pt: 0.3890 0.3890 0.4119
Pt: 0.1198 0.1198 0.3353
Pt: 0.6619 0.6619 0.9570
As: 0.9630 0.9630 0.0925
As: 0.3364 0.3364 0.8250
As: 0.6966 0.6966 0.5449

Computed properties:
The volume is 18.57 Å³/atom. The formation energy comes out at -168 meV per atom.